i.
Below is an optimized crystal structure of ZrNb3Cl, with properties calculated at the PBE level.

Summary:
Density (g cm⁻³): 5.27

abc: 5.0356 5.0356 5.0356
angles: 90.00 90.00 90.00
With the nearest neighbours (Å) after each atom.
Space group Pm-3m (No. 221)
Inequivalent atoms, fractional coordinates:
Zr 0.0000 0.0000 0.0000 (multiplicity 1)  6 Nb 2.52
Nb 0.0000 0.0000 0.5000 (multiplicity 3)  2 Zr 2.52
Cl 0.5000 0.5000 0.5000 (multiplicity 1)  12 Nb 3.56

ii.
Below is an optimized crystal structure of ZrNb3Cl, with properties calculated at the PBE level.

Summary:
Density (g cm⁻³): 6.83

abc: 4.6197 4.6197 4.6197
angles: 90.00 90.00 90.00
With the nearest neighbours (Å) after each atom.
Space group Pm-3m (No. 221)
Inequivalent atoms, fractional coordinates:
Zr 0.0000 0.0000 0.0000 (multiplicity 1)  12 Nb 3.27
Nb 0.0000 0.5000 0.5000 (multiplicity 3)  2 Cl 2.31
Cl 0.5000 0.5000 0.5000 (multiplicity 1)  6 Nb 2.31

Which is most stable, and by how much? ii, by 1.417 eV/atom.